# 1
## ErTmTe (GGA-PBE)

Data for an optimized crystal structure of ErTmTe.

Values from the calculation:
ΔE_f (raw), eV per formula unit: -2.40
E_tot, eV per atom: -4.860
Size of the total moment, μB per formula unit: 0.00
Space group: Pnma, No. 62

Cell: 8.1395 3.9002 10.5177 Å, 90.00 90.00 90.00°
Element x y z (fractional)
Er: 0.0040 0.2500 0.1571
Er: 0.4960 0.7500 0.6571
Er: 0.5040 0.2500 0.3429
Er: 0.9960 0.7500 0.8429
Tm: 0.1553 0.2500 0.5550
Tm: 0.3447 0.7500 0.0550
Tm: 0.6553 0.2500 0.9450
Tm: 0.8447 0.7500 0.4450
Te: 0.2037 0.7500 0.3294
Te: 0.2963 0.2500 0.8294
Te: 0.7037 0.7500 0.1706
Te: 0.7963 0.2500 0.6706



# 2
## CsLi2ClF2 (GGA-PBE)

Data for an optimized crystal structure of CsLi2ClF2.

Values from the calculation:
ΔE_f (raw), eV per formula unit: -14.93
E_tot, eV per atom: -4.201
Size of the total moment, μB per formula unit: 0.10
Space group: P2_1/m, No. 11

Cell: 6.6059 5.3187 7.8254 Å, 90.00 106.43 90.00°
Element x y z (fractional)
Cs: 0.1677 0.2500 0.3429
Cs: 0.8323 0.7500 0.6571
Li: 0.3541 0.0025 0.8012
Li: 0.3541 0.4975 0.8012
Li: 0.6459 0.5025 0.1988
Li: 0.6459 0.9975 0.1988
Cl: 0.3290 0.7500 0.0586
Cl: 0.6710 0.2500 0.9414
F: 0.1628 0.2500 0.7202
F: 0.3785 0.7500 0.6536
F: 0.6215 0.2500 0.3464
F: 0.8372 0.7500 0.2798



# 3
## Np2MnTc (GGA-PBE)

Data for an optimized crystal structure of Np2MnTc.

Values from the calculation:
E_tot, eV per atom: -11.089
ΔH_f (0 K), eV/f.u.: 1.1
Size of the total moment, μB per formula unit: 4.24
Space group: Fm-3m, No. 225

Cell: 6.6590 6.6590 6.6590 Å, 90.00 90.00 90.00°
Element x y z (fractional)
Np: 0.2500 0.2500 0.2500
Np: 0.2500 0.2500 0.7500
Np: 0.2500 0.7500 0.2500
Np: 0.2500 0.7500 0.7500
Np: 0.7500 0.2500 0.2500
Np: 0.7500 0.2500 0.7500
Np: 0.7500 0.7500 0.2500
Np: 0.7500 0.7500 0.7500
Mn: 0.0000 0.0000 0.0000
Mn: 0.0000 0.5000 0.5000
Mn: 0.5000 0.0000 0.5000
Mn: 0.5000 0.5000 0.0000
Tc: 0.0000 0.0000 0.5000
Tc: 0.0000 0.5000 0.0000
Tc: 0.5000 0.0000 0.0000
Tc: 0.5000 0.5000 0.5000



# 4
## CeTm5Hg6 (GGA-PBE)

Data for an optimized crystal structure of CeTm5Hg6.

Values from the calculation:
E_tot, eV per atom: -2.943
ΔH_f (0 K), eV/f.u.: -5.2
Size of the total moment, μB per formula unit: 1.43
Space group: P2/m, No. 10

Cell: 5.2090 7.4504 8.2833 Å, 90.00 108.18 90.00°
Element x y z (fractional)
Ce: 0.0000 0.0000 0.0000
Tm: 0.0000 0.5000 0.0000
Tm: 0.3316 0.0000 0.6628
Tm: 0.3374 0.5000 0.6737
Tm: 0.6626 0.5000 0.3263
Tm: 0.6684 0.0000 0.3372
Hg: 0.1706 0.2583 0.3423
Hg: 0.1706 0.7417 0.3423
Hg: 0.5000 0.2579 0.0000
Hg: 0.5000 0.7421 0.0000
Hg: 0.8294 0.2583 0.6577
Hg: 0.8294 0.7417 0.6577



# 5
## LaGeBi2 (GGA-PBE)

Data for an optimized crystal structure of LaGeBi2.

Values from the calculation:
E_tot, eV per atom: -4.623
ΔH_f (0 K), eV/f.u.: -1.2
Size of the total moment, μB per formula unit: 0.00
Space group: I-42d, No. 122

Cell: 8.8587 8.8587 6.3831 Å, 90.00 90.00 90.00°
Element x y z (fractional)
La: 0.0000 0.0000 0.0000
La: 0.0000 0.5000 0.2500
La: 0.5000 0.0000 0.7500
La: 0.5000 0.5000 0.5000
Ge: 0.0000 0.0000 0.5000
Ge: 0.0000 0.5000 0.7500
Ge: 0.5000 0.0000 0.2500
Ge: 0.5000 0.5000 0.0000
Bi: 0.2187 0.2500 0.6250
Bi: 0.2500 0.7187 0.8750
Bi: 0.2500 0.7813 0.3750
Bi: 0.2813 0.2500 0.1250
Bi: 0.7187 0.7500 0.1250
Bi: 0.7500 0.2187 0.3750
Bi: 0.7500 0.2813 0.8750
Bi: 0.7813 0.7500 0.6250



# 6
## ThAl2Fe6 (GGA-PBE)

Data for an optimized crystal structure of ThAl2Fe6.

Values from the calculation:
E_tot, eV per atom: -7.235
ΔH_f (0 K), eV/f.u.: 0.6
Size of the total moment, μB per formula unit: 2.30
Space group: Immm, No. 71

Cell: 6.4389 6.4389 6.4389 Å, 144.01 121.58 70.56°
Element x y z (fractional)
Th: 0.0000 0.0000 0.0000
Al: 0.3731 0.8731 0.5000
Al: 0.6269 0.1269 0.5000
Fe: 0.0967 0.2821 0.8146
Fe: 0.3263 0.5000 0.8263
Fe: 0.4674 0.2821 0.1854
Fe: 0.5326 0.7179 0.8146
Fe: 0.6737 0.5000 0.1737
Fe: 0.9033 0.7179 0.1854